Version A
A relaxed structure of Tl6Sb. Source: Alexandria via LeMat-Bulk, functional GGA-PBE.

The structure in CIF format:
```
data_Tl6Sb
_cell_length_a 9.1483
_cell_length_b 9.1483
_cell_length_c 3.4437
_cell_angle_alpha 90.00
_cell_angle_beta 90.00
_cell_angle_gamma 120.00
_symmetry_space_group_name_H-M 'P -3 1 m'
_symmetry_Int_Tables_number 162
_symmetry_space_group_name_Hall '-P 3 2'
loop_
_atom_site_label
_atom_site_fract_x
_atom_site_fract_y
_atom_site_fract_z
_atom_site_occupancy
Tl1 0.0000 0.3379 0.2272 1
Sb1 0.0000 0.0000 0.5000 1
```

---

Version B
A relaxed structure of Tl6Sb. Source: Alexandria via LeMat-Bulk, functional GGA-PBE.

The structure in CIF format:
```
data_Tl6Sb
_cell_length_a 8.491
_cell_length_b 8.491
_cell_length_c 8.491
_cell_angle_alpha 90.00
_cell_angle_beta 90.00
_cell_angle_gamma 90.00
_symmetry_space_group_name_H-M 'I m -3 m'
_symmetry_Int_Tables_number 229
_symmetry_space_group_name_Hall '-I 4 2 3'
loop_
_atom_site_label
_atom_site_fract_x
_atom_site_fract_y
_atom_site_fract_z
_atom_site_occupancy
Tl1 0.000 0.250 0.500 1
Sb1 0.000 0.000 0.000 1
```

---

Stability summary: most stable version A, least stable version B.

---

Version A
A relaxed structure of Tm2TlSb. Source: Alexandria via LeMat-Bulk, functional GGA-PBE.

The structure in CIF format:
```
data_Tm2TlSb
_cell_length_a 3.920
_cell_length_b 3.920
_cell_length_c 6.900
_cell_angle_alpha 90.00
_cell_angle_beta 90.00
_cell_angle_gamma 90.00
_symmetry_space_group_name_H-M 'P 4/m m m'
_symmetry_Int_Tables_number 123
_symmetry_space_group_name_Hall '-P 4 2'
loop_
_atom_site_label
_atom_site_fract_x
_atom_site_fract_y
_atom_site_fract_z
_atom_site_occupancy
Tm1 0.000 0.000 0.240 1
Tl1 0.500 0.500 0.500 1
Sb1 0.500 0.500 0.000 1
```

---

Version B
A relaxed structure of Tm2TlSb. Source: Alexandria via LeMat-Bulk, functional GGA-PBE.

The structure in CIF format:
```
data_Tm2TlSb
_cell_length_a 7.180
_cell_length_b 4.094
_cell_length_c 8.282
_cell_angle_alpha 90.00
_cell_angle_beta 106.36
_cell_angle_gamma 90.00
_symmetry_space_group_name_H-M 'C 1 2/m 1'
_symmetry_Int_Tables_number 12
_symmetry_space_group_name_Hall '-C 2y'
loop_
_atom_site_label
_atom_site_fract_x
_atom_site_fract_y
_atom_site_fract_z
_atom_site_occupancy
Tm1 0.244 0.000 0.232 1
Tl1 0.000 0.000 0.500 1
Sb1 0.000 0.500 0.000 1
```

---

Version C
A relaxed structure of Tm2TlSb. Source: Alexandria via LeMat-Bulk, functional GGA-PBE.

The structure in CIF format:
```
data_Tm2TlSb
_cell_length_a 4.8856
_cell_length_b 4.8856
_cell_length_c 15.9122
_cell_angle_alpha 90.00
_cell_angle_beta 90.00
_cell_angle_gamma 120.00
_symmetry_space_group_name_H-M 'R -3 m'
_symmetry_Int_Tables_number 166
_symmetry_space_group_name_Hall '-R 3 2"'
loop_
_atom_site_label
_atom_site_fract_x
_atom_site_fract_y
_atom_site_fract_z
_atom_site_occupancy
Tm1 0.0000 0.0000 0.2483 1
Tl1 0.0000 0.0000 0.5000 1
Sb1 0.0000 0.0000 0.0000 1
```

---

Version D
A relaxed structure of Tm2TlSb. Source: Alexandria via LeMat-Bulk, functional GGA-PBE.

The structure in CIF format:
```
data_Tm2TlSb
_cell_length_a 4.0748
_cell_length_b 4.0748
_cell_length_c 24.6885
_cell_angle_alpha 90.00
_cell_angle_beta 90.00
_cell_angle_gamma 120.00
_symmetry_space_group_name_H-M 'R 3 m'
_symmetry_Int_Tables_number 160
_symmetry_space_group_name_Hall 'R 3 -2"'
loop_
_atom_site_label
_atom_site_fract_x
_atom_site_fract_y
_atom_site_fract_z
_atom_site_occupancy
Tm1 0.0000 0.0000 0.0000 1
Tm2 0.0000 0.0000 0.1815 1
Tl1 0.0000 0.0000 0.4238 1
Sb1 0.0000 0.0000 0.5919 1
```

---

Stability summary: most stable version B, least stable version C.

---

Version A
A relaxed structure of Tm5Tl2Sb. Source: Alexandria via LeMat-Bulk, functional GGA-PBE.

The structure in CIF format:
```
data_Tm5Tl2Sb
_cell_length_a 8.184
_cell_length_b 8.184
_cell_length_c 13.132
_cell_angle_alpha 90.00
_cell_angle_beta 90.00
_cell_angle_gamma 90.00
_symmetry_space_group_name_H-M 'I 4/m c m'
_symmetry_Int_Tables_number 140
_symmetry_space_group_name_Hall '-I 4 2c'
loop_
_atom_site_label
_atom_site_fract_x
_atom_site_fract_y
_atom_site_fract_z
_atom_site_occupancy
Tm1 0.000 0.000 0.000 1
Tm2 0.153 0.347 0.153 1
Tl1 0.147 0.353 0.500 1
Sb1 0.000 0.000 0.250 1
```

---

Version B
A relaxed structure of Tm5Tl2Sb. Source: Alexandria via LeMat-Bulk, functional GGA-PBE.

The structure in CIF format:
```
data_Tm5Tl2Sb
_cell_length_a 7.494
_cell_length_b 7.494
_cell_length_c 7.739
_cell_angle_alpha 90.00
_cell_angle_beta 90.00
_cell_angle_gamma 90.00
_symmetry_space_group_name_H-M 'I 4 m m'
_symmetry_Int_Tables_number 107
_symmetry_space_group_name_Hall 'I 4 -2'
loop_
_atom_site_label
_atom_site_fract_x
_atom_site_fract_y
_atom_site_fract_z
_atom_site_occupancy
Tm1 0.000 0.000 0.000 1
Tm2 0.233 0.233 0.706 1
Tl1 0.000 0.500 0.469 1
Sb1 0.000 0.000 0.402 1
```

---

Stability summary: most stable version A, least stable version B.

---

Version A
A relaxed structure of TlVSb. Source: Alexandria via LeMat-Bulk, functional GGA-PBE.

The structure in CIF format:
```
data_TlVSb
_cell_length_a 3.970
_cell_length_b 3.970
_cell_length_c 9.842
_cell_angle_alpha 90.00
_cell_angle_beta 90.00
_cell_angle_gamma 90.00
_symmetry_space_group_name_H-M 'P 4/n m m'
_symmetry_Int_Tables_number 129
loop_
_symmetry_equiv_pos_as_xyz
'x,y,z'
'-x,-y,-z'
'-y+1/2,x,z'
'y+1/2,-x,-z'
'-x+1/2,-y+1/2,z'
'x+1/2,y+1/2,-z'
'y,-x+1/2,z'
'-y,x+1/2,-z'
'x+1/2,-y,-z'
'-x+1/2,y,z'
'-y,-x,-z'
'y,x,z'
'-x,y+1/2,-z'
'x,-y+1/2,z'
'y+1/2,x+1/2,-z'
'-y+1/2,-x+1/2,z'
loop_
_atom_site_label
_atom_site_fract_x
_atom_site_fract_y
_atom_site_fract_z
_atom_site_occupancy
Tl1 0.250 0.250 0.147 1
V1 0.250 0.750 0.500 1
Sb1 0.250 0.250 0.689 1
```

---

Version B
A relaxed structure of TlVSb. Source: Alexandria via LeMat-Bulk, functional GGA-PBE.

The structure in CIF format:
```
data_TlVSb
_cell_length_a 8.324
_cell_length_b 3.385
_cell_length_c 11.515
_cell_angle_alpha 90.00
_cell_angle_beta 106.45
_cell_angle_gamma 90.00
_symmetry_space_group_name_H-M 'C 1 2/m 1'
_symmetry_Int_Tables_number 12
_symmetry_space_group_name_Hall '-C 2y'
loop_
_atom_site_label
_atom_site_fract_x
_atom_site_fract_y
_atom_site_fract_z
_atom_site_occupancy
Tl1 0.183 0.000 0.116 1
V1 0.194 0.500 0.557 1
Sb1 0.049 0.500 0.322 1
```

---

Stability summary: most stable version A, least stable version B.

---

Version A
A relaxed structure of TlVSb2. Source: Alexandria via LeMat-Bulk, functional GGA-PBE.

The structure in CIF format:
```
data_TlVSb2
_cell_length_a 3.3626
_cell_length_b 3.3626
_cell_length_c 30.9257
_cell_angle_alpha 90.00
_cell_angle_beta 90.00
_cell_angle_gamma 120.00
_symmetry_space_group_name_H-M 'R -3 m'
_symmetry_Int_Tables_number 166
_symmetry_space_group_name_Hall '-R 3 2"'
loop_
_atom_site_label
_atom_site_fract_x
_atom_site_fract_y
_atom_site_fract_z
_atom_site_occupancy
Tl1 0.0000 0.0000 0.0000 1
V1 0.0000 0.0000 0.5000 1
Sb1 0.0000 0.0000 0.2292 1
```

---

Version B
A relaxed structure of TlVSb2. Source: Alexandria via LeMat-Bulk, functional GGA-PBE.

The structure in CIF format:
```
data_TlVSb2
_cell_length_a 7.331
_cell_length_b 7.331
_cell_length_c 7.331
_cell_angle_alpha 90.00
_cell_angle_beta 90.00
_cell_angle_gamma 90.00
_symmetry_space_group_name_H-M 'F m -3 m'
_symmetry_Int_Tables_number 225
_symmetry_space_group_name_Hall '-F 4 2 3'
loop_
_atom_site_label
_atom_site_fract_x
_atom_site_fract_y
_atom_site_fract_z
_atom_site_occupancy
Tl1 0.000 0.000 0.000 1
V1 0.000 0.000 0.500 1
Sb1 0.250 0.250 0.250 1
```

---

Stability summary: most stable version A, least stable version B.